Material: Hf9Al2Tl
Method: DFT, PBE
State: relaxed Values from VASP.

Geometry as Quantum ESPRESSO input:
```
&SYSTEM
  ibrav = 0, nat = 12, ntyp = 3
/
ATOMIC_SPECIES
Hf 178.49 Hf.upf
Al 26.98 Al.upf
Tl 204.38 Tl.upf
ATOMIC_POSITIONS crystal
Hf 0.500 0.500 0.000
Hf 0.500 0.500 0.664
Hf 0.500 0.500 0.336
Hf 0.500 0.000 0.174
Hf 0.500 0.000 0.500
Al 0.000 0.000 0.664
Tl 0.000 0.000 0.000
Hf 0.000 0.500 0.826
Al 0.000 0.000 0.336
Hf 0.000 0.500 0.174
Hf 0.500 0.000 0.826
Hf 0.000 0.500 0.500
CELL_PARAMETERS angstrom
-0.474 0.325 4.328
-3.930 -1.880 -0.289
5.543 -11.817 1.496
```

## Properties
- Theoretical density: 12362 kg/m³
- SG: P4/mmm, No. 123
- Energy relative to the elements: -0.151 eV per atom